Version w
The following is a DFT calculation (PBE) of an optimized crystal structure of BeMoIN2.

Values from the calculation:
**Crystal system**: tetragonal

Unit cell a=3.894 b=3.894 c=5.867 alpha=90.00 beta=90.00 gamma=90.00
Element x y z (fractional)
Be: 0.000 0.000 0.000
Mo: 0.500 0.500 0.500
I: 0.500 0.500 0.000
N: 0.000 0.500 0.500
N: 0.500 0.000 0.500



Version x
The following is a DFT calculation (PBE) of an optimized crystal structure of BeMoIN2.

Values from the calculation:
**Crystal system**: tetragonal

Unit cell a=3.763 b=3.763 c=4.851 alpha=90.00 beta=90.00 gamma=90.00
Element x y z (fractional)
Be: 0.000 0.000 0.000
Mo: 0.500 0.500 0.500
I: 0.000 0.000 0.500
N: 0.000 0.500 0.000
N: 0.500 0.000 0.000



Each structure's energy above the most stable one, in kJ/mol of atoms: version w 0.0; version x 87.6.